Record 1
A plane-wave DFT calculation with PBE was carried out for an optimized crystal structure of Mg3Rh2.

a = 7.175 Å, b = 5.353 Å, c = 8.149 Å
α = 60.03°, β = 40.26°, γ = 79.70°
Sites, in units of the cell vectors:
1 Mg 0.000 0.000 0.000
2 Mg 0.250 0.250 0.250
3 Mg 0.438 0.561 0.349
4 Mg 0.561 0.438 0.652
5 Mg 0.598 0.901 0.689
6 Mg 0.901 0.598 0.812
7 Rh 0.135 0.791 0.263
8 Rh 0.439 0.987 0.459
9 Rh 0.791 0.135 0.811
10 Rh 0.987 0.439 0.115

Summary:
DOS(E_F) (states/eV per cell): 5.0
DFT formation energy (eV per formula unit): -1.60
Total energy (eV for the cell shown): -42.17

=====

Record 2
A plane-wave DFT calculation with PBE was carried out for an optimized crystal structure of Mg5Rh.

a = 5.519 Å, b = 5.519 Å, c = 7.512 Å
α = 110.72°, β = 110.72°, γ = 34.11°
Sites, in units of the cell vectors:
1 Mg 0.000 0.000 0.000
2 Mg 0.023 0.023 0.431
3 Mg 0.358 0.358 0.640
4 Mg 0.693 0.693 0.848
5 Mg 0.716 0.716 0.280
6 Rh 0.358 0.358 0.139

Summary:
DOS(E_F) (states/eV per cell): 1.7
DFT formation energy (eV per formula unit): -1.33
Polymorph energy (0 for the lowest one) (meV/atom): 0
Total energy (eV for the cell shown): -16.65

=====

Record 3
A plane-wave DFT calculation with PBE was carried out for an optimized crystal structure of Mg5Rh3.

a = 7.719 Å, b = 7.719 Å, c = 5.336 Å
α = 90.00°, β = 90.00°, γ = 120.00°
Sites, in units of the cell vectors:
1 Mg 0.000 0.256 0.250
2 Mg 0.000 0.744 0.750
3 Mg 0.256 0.000 0.250
4 Mg 0.256 0.256 0.750
5 Mg 0.333 0.667 0.000
6 Mg 0.333 0.667 0.500
7 Mg 0.667 0.333 0.000
8 Mg 0.667 0.333 0.500
9 Mg 0.744 0.000 0.750
10 Mg 0.744 0.744 0.250
11 Rh 0.000 0.394 0.750
12 Rh 0.000 0.606 0.250
13 Rh 0.394 0.000 0.750
14 Rh 0.394 0.394 0.250
15 Rh 0.606 0.000 0.250
16 Rh 0.606 0.606 0.750

Summary:
DOS(E_F) (states/eV per cell): 9.1
DFT formation energy (eV per formula unit): -3.10
Polymorph energy (0 for the lowest one) (meV/atom): 36
Total energy (eV for the cell shown): -66.26